Entry 1:
Below is an optimized crystal structure of Co2Re, with properties calculated at the GGA-PBEsol level.

```
Co2Re
1.0
-4.080 -2.020 -0.375
3.361 -1.084 -2.898
4.498 -10.800 9.257
Co Re
16 8
Direct
0.164 0.836 0.750
0.000 0.500 0.500
0.500 0.000 0.500
0.500 0.500 0.000
0.333 0.667 0.874
0.333 0.667 0.626
0.500 0.500 0.500
0.836 0.164 0.250
0.667 0.333 0.126
0.164 0.327 0.750
0.000 0.500 0.000
0.327 0.164 0.250
0.667 0.333 0.374
0.500 0.000 0.000
0.673 0.836 0.750
0.836 0.673 0.250
0.000 0.000 0.409
0.667 0.333 0.656
0.000 0.000 0.591
0.000 0.000 0.091
0.333 0.667 0.156
0.333 0.667 0.344
0.000 0.000 0.909
0.667 0.333 0.844
```

Calculated values
Space group: P6_3/mmc, No. 194
E_tot in eV per atom: -9.600
V in Å³/atom: 11.23
ρ in Mg/m³: 14.983
Formation enthalpy at 0 K in eV per atom: 0.0022
DOS at the Fermi energy in states/eV per atom: 1.447

=====

Entry 2:
Below is an optimized crystal structure of ZrScCr2Ga, with properties calculated at the GGA-PBEsol level.

```
ZrScCr2Ga
1.0
-0.299 3.710 2.706
-2.361 -2.450 3.098
4.359 -1.314 2.282
Cr Sc Ga Zr
2 1 1 1
Direct
0.000 0.500 0.000
0.500 0.000 0.000
0.000 0.000 0.500
0.500 0.500 0.500
0.000 0.000 0.000
```

Calculated values
Space group: P4/mmm, No. 123
E_tot in eV per atom: -6.489
V in Å³/atom: 21.57
ρ in Mg/m³: 4.772
Formation enthalpy at 0 K in eV per atom: 1.4145
DOS at the Fermi energy in states/eV per atom: 0.898

=====

Entry 3:
Below is an optimized crystal structure of ZrCr2Pb, with properties calculated at the GGA-PBEsol level.

```
ZrCr2Pb
1.0
-0.230 -3.048 -0.069
4.194 -0.353 1.600
-1.864 0.378 4.971
Cr Pb Zr
2 1 1
Direct
0.636 0.000 0.673
0.364 0.000 0.327
0.500 0.500 0.000
0.000 0.500 0.500
```

Calculated values
Space group: P2/m, No. 10
E_tot in eV per atom: -7.966
V in Å³/atom: 18.28
ρ in Mg/m³: 9.139
Formation enthalpy at 0 K in eV per atom: 0.4269
DOS at the Fermi energy in states/eV per atom: 0.635

=====

Please write out number 3 again, unchanged.
Below is an optimized crystal structure of ZrCr2Pb, with properties calculated at the GGA-PBEsol level.

```
ZrCr2Pb
1.0
-0.230 -3.048 -0.069
4.194 -0.353 1.600
-1.864 0.378 4.971
Cr Pb Zr
2 1 1
Direct
0.636 0.000 0.673
0.364 0.000 0.327
0.500 0.500 0.000
0.000 0.500 0.500
```

Calculated values
Space group: P2/m, No. 10
E_tot in eV per atom: -7.966
V in Å³/atom: 18.28
ρ in Mg/m³: 9.139
Formation enthalpy at 0 K in eV per atom: 0.4269
DOS at the Fermi energy in states/eV per atom: 0.635

=====

Which of these has the highest E_tot?
ZrScCr2Ga

=====

Please write out number 1 again, unchanged.
Below is an optimized crystal structure of Co2Re, with properties calculated at the GGA-PBEsol level.

```
Co2Re
1.0
-4.080 -2.020 -0.375
3.361 -1.084 -2.898
4.498 -10.800 9.257
Co Re
16 8
Direct
0.164 0.836 0.750
0.000 0.500 0.500
0.500 0.000 0.500
0.500 0.500 0.000
0.333 0.667 0.874
0.333 0.667 0.626
0.500 0.500 0.500
0.836 0.164 0.250
0.667 0.333 0.126
0.164 0.327 0.750
0.000 0.500 0.000
0.327 0.164 0.250
0.667 0.333 0.374
0.500 0.000 0.000
0.673 0.836 0.750
0.836 0.673 0.250
0.000 0.000 0.409
0.667 0.333 0.656
0.000 0.000 0.591
0.000 0.000 0.091
0.333 0.667 0.156
0.333 0.667 0.344
0.000 0.000 0.909
0.667 0.333 0.844
```

Calculated values
Space group: P6_3/mmc, No. 194
E_tot in eV per atom: -9.600
V in Å³/atom: 11.23
ρ in Mg/m³: 14.983
Formation enthalpy at 0 K in eV per atom: 0.0022
DOS at the Fermi energy in states/eV per atom: 1.447